A geometry-optimized Se2N2Cl structure, computed with PBE-GGA.

Values from the calculation:
The symmetry is I4/mmm, No. 139. The value obtained for the uncorrected formation energy is 1.32 eV/atom. For the relative energy among the computed polymorphs, the calculation gives 944 meV/atom.

a b c (Å): 6.183 6.183 6.183
angles (deg): 140.88 140.88 56.52
Sites, in units of the cell vectors:
1 Se 0.250 0.750 0.500
2 Se 0.750 0.250 0.500
3 N 0.215 0.215 0.000
4 N 0.785 0.785 0.000
5 Cl 0.500 0.500 0.000